[1]
Density functional theory data (PBE-GGA) for a relaxed ScP2Os crystal.

Results
- DOS(E_F): 3.57 states/eV/cell
- Total energy: -7.475 eV/atom

Lattice parameters (Å, degrees): 4.385 4.385 3.035 90.00 90.00 90.00
Space group P4/mmm (No. 123)
Asymmetric unit:
Sc  0.000  0.000  0.000 [1 per cell]
P  0.000  0.500  0.500 [2 per cell]
Os  0.500  0.500  0.000 [1 per cell]

***

[2]
Density functional theory data (PBE-GGA) for a relaxed Sc2POs crystal.

Results
- DOS(E_F): 11.22 states/eV/cell
- Total energy: -7.472 eV/atom

Lattice parameters (Å, degrees): 7.027 7.027 5.988 90.00 90.00 90.00
Space group I-42d (No. 122)
Asymmetric unit:
Sc  0.248  0.250  0.125 [8 per cell]
P  0.000  0.000  0.000 [4 per cell]
Os  0.000  0.000  0.500 [4 per cell]